A relaxed structure of LiNb2Co2, computed with GGA-PBE.

CIF file:
```
data_LiNb2Co2
_cell_length_a 3.527
_cell_length_b 3.527
_cell_length_c 12.902
_cell_angle_alpha 90.00
_cell_angle_beta 90.00
_cell_angle_gamma 90.00
_symmetry_space_group_name_H-M 'I 4/m m m'
_symmetry_Int_Tables_number 139
_symmetry_space_group_name_Hall '-I 4 2'
loop_
_atom_site_label
_atom_site_type_symbol
_atom_site_fract_x
_atom_site_fract_y
_atom_site_fract_z
_atom_site_occupancy
Li1 Li 0.000 0.000 0.000 1
Nb1 Nb 0.000 0.000 0.382 1
Co1 Co 0.000 0.500 0.250 1
```

## Properties
Formation energy from the elements, eV per atom: 0.46

A relaxed structure of LiNbCo, computed with GGA-PBE.

CIF file:
```
data_LiNbCo
_cell_length_a 12.676
_cell_length_b 3.606
_cell_length_c 3.964
_cell_angle_alpha 90.00
_cell_angle_beta 90.00
_cell_angle_gamma 90.00
_symmetry_space_group_name_H-M 'A m m 2'
_symmetry_Int_Tables_number 38
loop_
_symmetry_equiv_pos_as_xyz
'x,y,z'
'-x,-y,z'
'-x,y,z'
'x,-y,z'
'x,y+1/2,z+1/2'
'-x,-y+1/2,z+1/2'
'-x,y+1/2,z+1/2'
'x,-y+1/2,z+1/2'
loop_
_atom_site_label
_atom_site_type_symbol
_atom_site_fract_x
_atom_site_fract_y
_atom_site_fract_z
_atom_site_occupancy
Li1 Li 0.150 0.000 0.000 1
Nb1 Nb 0.352 0.000 0.501 1
Co1 Co 0.000 0.000 0.500 1
Co2 Co 0.500 0.000 0.002 1
```

## Properties
Formation energy from the elements, eV per atom: 0.24

A relaxed structure of LiNbCo3, computed with GGA-PBE.

CIF file:
```
data_LiNbCo3
_cell_length_a 4.513
_cell_length_b 4.513
_cell_length_c 4.513
_cell_angle_alpha 90.00
_cell_angle_beta 90.00
_cell_angle_gamma 90.00
_symmetry_space_group_name_H-M 'P m -3 m'
_symmetry_Int_Tables_number 221
_symmetry_space_group_name_Hall '-P 4 2 3'
loop_
_atom_site_label
_atom_site_type_symbol
_atom_site_fract_x
_atom_site_fract_y
_atom_site_fract_z
_atom_site_occupancy
Li1 Li 0.000 0.000 0.000 1
Nb1 Nb 0.500 0.500 0.500 1
Co1 Co 0.000 0.500 0.500 1
```

## Properties
Formation energy from the elements, eV per atom: 1.21

A relaxed structure of LiNb3Co, computed with GGA-PBE.

CIF file:
```
data_LiNb3Co
_cell_length_a 4.329
_cell_length_b 4.329
_cell_length_c 4.329
_cell_angle_alpha 90.00
_cell_angle_beta 90.00
_cell_angle_gamma 90.00
_symmetry_space_group_name_H-M 'P m -3 m'
_symmetry_Int_Tables_number 221
_symmetry_space_group_name_Hall '-P 4 2 3'
loop_
_atom_site_label
_atom_site_type_symbol
_atom_site_fract_x
_atom_site_fract_y
_atom_site_fract_z
_atom_site_occupancy
Li1 Li 0.000 0.000 0.000 1
Nb1 Nb 0.000 0.000 0.500 1
Co1 Co 0.500 0.500 0.500 1
```

## Properties
Formation energy from the elements, eV per atom: 1.27

A relaxed structure of LiNb2Co2, computed with GGA-PBE.

CIF file:
```
data_LiNb2Co2
_cell_length_a 7.436
_cell_length_b 7.436
_cell_length_c 2.734
_cell_angle_alpha 90.00
_cell_angle_beta 90.00
_cell_angle_gamma 90.00
_symmetry_space_group_name_H-M 'P 4/m b m'
_symmetry_Int_Tables_number 127
_symmetry_space_group_name_Hall '-P 4 2ab'
loop_
_atom_site_label
_atom_site_type_symbol
_atom_site_fract_x
_atom_site_fract_y
_atom_site_fract_z
_atom_site_occupancy
Li1 Li 0.000 0.000 0.000 1
Nb1 Nb 0.154 0.346 0.000 1
Co1 Co 0.140 0.640 0.500 1
```

## Properties
Formation energy from the elements, eV per atom: 0.08

A relaxed structure of LiNb3Co, computed with GGA-PBE.

CIF file:
```
data_LiNb3Co
_cell_length_a 4.638
_cell_length_b 4.638
_cell_length_c 4.638
_cell_angle_alpha 90.00
_cell_angle_beta 90.00
_cell_angle_gamma 90.00
_symmetry_space_group_name_H-M 'P m -3 m'
_symmetry_Int_Tables_number 221
_symmetry_space_group_name_Hall '-P 4 2 3'
loop_
_atom_site_label
_atom_site_type_symbol
_atom_site_fract_x
_atom_site_fract_y
_atom_site_fract_z
_atom_site_occupancy
Li1 Li 0.000 0.000 0.000 1
Nb1 Nb 0.000 0.500 0.500 1
Co1 Co 0.500 0.500 0.500 1
```

## Properties
Formation energy from the elements, eV per atom: 0.79

A relaxed structure of LiNbCo3, computed with GGA-PBE.

CIF file:
```
data_LiNbCo3
_cell_length_a 3.889
_cell_length_b 3.889
_cell_length_c 3.889
_cell_angle_alpha 90.00
_cell_angle_beta 90.00
_cell_angle_gamma 90.00
_symmetry_space_group_name_H-M 'P m -3 m'
_symmetry_Int_Tables_number 221
_symmetry_space_group_name_Hall '-P 4 2 3'
loop_
_atom_site_label
_atom_site_type_symbol
_atom_site_fract_x
_atom_site_fract_y
_atom_site_fract_z
_atom_site_occupancy
Li1 Li 0.000 0.000 0.000 1
Nb1 Nb 0.500 0.500 0.500 1
Co1 Co 0.000 0.000 0.500 1
```

## Properties
Formation energy from the elements, eV per atom: 0.56

A relaxed structure of LiNb2Co, computed with GGA-PBE.

CIF file:
```
data_LiNb2Co
_cell_length_a 6.997
_cell_length_b 6.997
_cell_length_c 5.296
_cell_angle_alpha 90.00
_cell_angle_beta 90.00
_cell_angle_gamma 90.00
_symmetry_space_group_name_H-M 'I -4 2 d'
_symmetry_Int_Tables_number 122
_symmetry_space_group_name_Hall 'I -4 2bw'
loop_
_atom_site_label
_atom_site_type_symbol
_atom_site_fract_x
_atom_site_fract_y
_atom_site_fract_z
_atom_site_occupancy
Li1 Li 0.000 0.000 0.000 1
Nb1 Nb 0.212 0.250 0.625 1
Co1 Co 0.000 0.000 0.500 1
```

## Properties
Formation energy from the elements, eV per atom: 0.45

Number 1: theoretical density 6.427 g cm⁻³, spin magnetization 0.83 μB/cell, calculated volume 160.50 Å³ per cell. Number 2: theoretical density 5.820 g cm⁻³, spin magnetization 2.75 μB/cell, calculated volume 181.22 Å³ per cell. Number 3: theoretical density 4.999 g cm⁻³, spin magnetization 1.49 μB/cell, calculated volume 91.89 Å³ per cell. Number 4: theoretical density 7.051 g cm⁻³, spin magnetization 0.00 μB/cell, calculated volume 81.15 Å³ per cell. Number 5: theoretical density 6.824 g cm⁻³, spin magnetization 0.00 μB/cell, calculated volume 151.16 Å³ per cell. Number 6: theoretical density 5.734 g cm⁻³, spin magnetization 0.00 μB/cell, calculated volume 99.79 Å³ per cell. Number 7: theoretical density 7.810 g cm⁻³, spin magnetization 0.96 μB/cell, calculated volume 58.82 Å³ per cell. Number 8: theoretical density 6.447 g cm⁻³, spin magnetization 0.00 μB/cell, calculated volume 259.29 Å³ per cell.